Computed, not measured: a geometry-optimized LiAlPt4 structure at the GGA-PBEsol level of DFT.

Output
ΔH_f (0 K) ... -0.2821 eV per atom
Volume ... 99 Å³/cell
Crystal system ... cubic

abc: 5.1958 5.1958 5.1958
angles: 60.00 60.00 60.00
Closest atoms and distances in Å follow each position.
Atoms (fractional coordinates):
Li  0.0000  0.0000  0.0000  12 Pt 3.05, 4 Al 3.18
Al  0.7500  0.7500  0.7500  12 Pt 3.05, 4 Li 3.18
Pt  0.3750  0.3750  0.3750  6 Pt 2.60
Pt  0.3750  0.3750  0.8749  6 Pt 2.60
Pt  0.3750  0.8749  0.3750  6 Pt 2.60
Pt  0.8749  0.3750  0.3750  6 Pt 2.60

---

Computed, not measured: a geometry-optimized LiAl2Pt2 structure at the GGA-PBEsol level of DFT.

Output
ΔH_f (0 K) ... -0.9352 eV per atom
Volume ... 151 Å³/cell
Crystal system ... tetragonal

abc: 7.3810 7.3810 2.7783
angles: 90.00 90.00 90.00
Closest atoms and distances in Å follow each position.
Atoms (fractional coordinates):
Li  0.0000  0.0000  0.0000  2 Li 2.78, 4 Pt 2.82
Li  0.5000  0.5000  0.0000  2 Li 2.78, 4 Pt 2.82
Al  0.1497  0.3503  0.5000  6 Pt 2.53-2.60, 2 Al 2.78
Al  0.3503  0.8503  0.5000  6 Pt 2.53-2.60, 2 Al 2.78
Al  0.6497  0.1497  0.5000  6 Pt 2.53-2.60, 2 Al 2.78
Al  0.8503  0.6497  0.5000  6 Pt 2.53-2.60, 2 Al 2.78
Pt  0.1476  0.6476  0.0000  6 Al 2.53-2.60, 2 Pt 2.78, 2 Li 2.82
Pt  0.3524  0.1476  0.0000  6 Al 2.53-2.60, 2 Pt 2.78, 2 Li 2.82
Pt  0.6476  0.8524  0.0000  6 Al 2.53-2.60, 2 Pt 2.78, 2 Li 2.82
Pt  0.8524  0.3524  0.0000  6 Al 2.53-2.60, 2 Pt 2.78, 2 Li 2.82

---

Computed, not measured: a geometry-optimized Li2Al2Pt structure at the GGA-PBEsol level of DFT.

Output
ΔH_f (0 K) ... -0.3203 eV per atom
Volume ... 165 Å³/cell
Crystal system ... tetragonal

abc: 6.4186 6.4186 3.9931
angles: 90.00 90.00 90.00
Closest atoms and distances in Å follow each position.
Atoms (fractional coordinates):
Li  0.1658  0.3342  0.0000  6 Al 2.63-2.83
Li  0.3342  0.8342  0.0000  6 Al 2.63-2.83
Li  0.6658  0.1658  0.0000  6 Al 2.63-2.83
Li  0.8342  0.6658  0.0000  6 Al 2.63-2.83
Al  0.1460  0.6460  0.5000  2 Pt 2.46, 2 Li 2.63, 1 Al 2.65
Al  0.3540  0.1460  0.5000  2 Pt 2.46, 2 Li 2.63, 1 Al 2.65
Al  0.6460  0.8540  0.5000  2 Pt 2.46, 2 Li 2.63, 1 Al 2.65
Al  0.8540  0.3540  0.5000  2 Pt 2.46, 2 Li 2.63, 1 Al 2.65
Pt  0.0000  0.0000  0.5000  4 Al 2.46
Pt  0.5000  0.5000  0.5000  4 Al 2.46

---

Computed, not measured: a geometry-optimized LiAlPt2 structure at the GGA-PBEsol level of DFT.

Output
ΔH_f (0 K) ... -0.7173 eV per atom
Volume ... 56 Å³/cell
Crystal system ... orthorhombic

abc: 5.2693 5.2693 5.2693
angles: 148.31 132.92 57.87
Closest atoms and distances in Å follow each position.
Atoms (fractional coordinates):
Li  0.0000  0.0000  0.0000  6 Pt 2.55-2.70
Al  0.2699  0.7699  0.5000  6 Pt 2.51-2.55
Pt  0.4926  0.4926  0.0000  2 Al 2.51, 4 Li 2.55, 2 Pt 2.79
Pt  0.7524  0.2524  0.5000  4 Al 2.55, 2 Li 2.70, 2 Pt 2.79

---

Computed, not measured: a geometry-optimized LiAlPt2 structure at the GGA-PBEsol level of DFT.

Output
ΔH_f (0 K) ... -0.8656 eV per atom
Volume ... 53 Å³/cell
Crystal system ... tetragonal

abc: 2.8869 2.8869 6.4043
angles: 90.00 90.00 90.00
Closest atoms and distances in Å follow each position.
Atoms (fractional coordinates):
Li  0.0000  0.0000  0.0000  8 Pt 2.60, 4 Li 2.89
Al  0.0000  0.0000  0.5000  8 Pt 2.58, 4 Al 2.89
Pt  0.5000  0.5000  0.2525  4 Al 2.58, 4 Li 2.60, 4 Pt 2.89
Pt  0.5000  0.5000  0.7475  4 Al 2.58, 4 Li 2.60, 4 Pt 2.89

---

Computed, not measured: a geometry-optimized LiAlRe structure at the GGA-PBEsol level of DFT.

Output
ΔH_f (0 K) ... 0.2923 eV per atom
E above lowest polymorph ... 0.52 eV per formula unit
Volume ... 40 Å³/cell
Crystal system ... tetragonal

abc: 4.9714 4.9714 4.9714
angles: 145.26 145.26 49.95
Closest atoms and distances in Å follow each position.
Atoms (fractional coordinates):
Li  0.0000  0.0000  0.0000  4 Al 2.55, 4 Re 2.58
Al  0.3402  0.3402  0.0000  4 Li 2.55, 4 Re 2.62
Re  0.6672  0.6672  0.0000  4 Li 2.58, 4 Al 2.62

---

- Which of these has the lowest ΔH_f (0 K)?
  LiAl2Pt2